Entry from the Alexandria database: crystalline Ho4ErCo4 at its relaxed geometry (GGA-PBE).

Summary:
- V (Å³ per cell) = 386
- electronic total energy (eV/atom) = -5.7794

abc: 5.5460 8.3458 8.3458
angles: 90.00 90.00 90.00
Fractional coordinates of all 18 atoms:
Ho 0.3810 0.3108 0.9244
Ho 0.8810 0.5756 0.8108
Ho 0.3810 0.6892 0.0756
Ho 0.1190 0.1892 0.5756
Ho 0.6190 0.9244 0.6892
Ho 0.1190 0.8108 0.4244
Ho 0.8810 0.4244 0.1892
Ho 0.6190 0.0756 0.3108
Er 0.0000 0.0000 0.0000
Er 0.5000 0.5000 0.5000
Co 0.6358 0.7617 0.3626
Co 0.6358 0.2383 0.6374
Co 0.1358 0.8626 0.7383
Co 0.8642 0.2617 0.8626
Co 0.8642 0.7383 0.1374
Co 0.3642 0.3626 0.2383
Co 0.3642 0.6374 0.7617
Co 0.1358 0.1374 0.2617